Material: NdSm2Ga3Ni3
Method: DFT, PBE
State: relaxed

Output
Density   8.0 Mg/m³
E_tot   -5.017 eV/atom
Space-group type   Amm2 (38)

```
NdSm2Ga3Ni3
1.0
3.871 0.000 0.000
0.000 6.185 3.580
0.000 -6.185 3.580
Ni Sm Ga Nd
3 2 3 1
direct
0.000 0.669 0.332
0.000 0.332 0.669
0.500 0.000 0.000
0.500 0.000 0.585
0.500 0.585 0.000
0.000 0.763 0.763
0.000 0.997 0.239
0.000 0.239 0.997
0.500 0.416 0.416
```